No. 1
First-principles (PBE) data for CuAg2 after structural relaxation, as listed in OQMD via LeMat-Bulk.

Results
Its energy of formation from the pure elements is 8 kJ per mole of atoms. As for the energy above the lowest structure with this stoichiometry: 54 meV/atom.

Structure (CIF):
```
data_CuAg2
_space_group_name_H-M_alt 'C 1 m 1'
_space_group_IT_number 8
_cell_length_a 9.485
_cell_length_b 2.877
_cell_length_c 11.508
_cell_angle_alpha 90.00
_cell_angle_beta 113.64
_cell_angle_gamma 90.00
loop_
_space_group_symop_operation_xyz
'x,y,z'
'x,-y,z'
'x+1/2,y+1/2,z'
'x+1/2,-y+1/2,z'
loop_
_atom_site_label
_atom_site_type_symbol
_atom_site_fract_x
_atom_site_fract_y
_atom_site_fract_z
Cu1 Cu 0.000 0.000 0.000
Cu2 Cu 0.019 0.000 0.348
Cu3 Cu 0.173 0.500 0.547
Ag1 Ag 0.017 0.000 0.664
Ag2 Ag 0.165 0.500 0.220
Ag3 Ag 0.173 0.500 0.901
Ag4 Ag 0.341 0.000 0.442
Ag5 Ag 0.341 0.000 0.776
Ag6 Ag 0.351 0.000 0.125
```

No. 2
First-principles (PBE) data for CuAg after structural relaxation, as listed in OQMD via LeMat-Bulk.

Results
Its energy of formation from the pure elements is 8 kJ per mole of atoms.

Structure (CIF):
```
data_CuAg
_space_group_name_H-M_alt 'R -3 m'
_space_group_IT_number 166
_space_group_name_Hall '-R 3 2"'
_cell_length_a 2.8182
_cell_length_b 2.8182
_cell_length_c 65.7456
_cell_angle_alpha 90.00
_cell_angle_beta 90.00
_cell_angle_gamma 120.00
loop_
_atom_site_label
_atom_site_type_symbol
_atom_site_fract_x
_atom_site_fract_y
_atom_site_fract_z
Cu1 Cu 0.0000 0.0000 0.0000
Cu2 Cu 0.0000 0.0000 0.3040
Cu3 Cu 0.0000 0.0000 0.3918
Ag1 Ag 0.0000 0.0000 0.0917
Ag2 Ag 0.0000 0.0000 0.2041
Ag3 Ag 0.0000 0.0000 0.5000
```